Material: CoSeOF2
Method: DFT, GGA+U
State: relaxed

abc: 3.8636 3.8636 4.3205
angles: 90.00 90.00 90.00
Closest atoms and distances in Å follow each position.
Fractional coordinates of all 5 atoms:
1 Co 0.0000 0.0000 0.0000  4 F 1.93, 2 O 2.16
2 O 0.0000 0.0000 0.5000  2 Co 2.16
3 Se 0.5000 0.5000 0.5000  4 O 2.73, 8 F 2.90
4 F 0.0000 0.5000 0.0000  2 Co 1.93
5 F 0.5000 0.0000 0.0000  2 Co 1.93

energy relative to the lowest polymorph listed for this composition = 0 meV per atom
ρ = 4.94 Mg/m³
magnetization = 0.36 μB per atom